(1)
The following is a DFT calculation (PBE) of crystalline InSn2GeH at its relaxed geometry.

a b c (Å): 5.499 5.499 5.373
angles (deg): 90.00 90.00 90.00
Last column: magnetic moment on the atom in μB.
Fractional positions:
H  0.500  0.500  0.500  0.13
Ge  0.000  0.000  0.000  -0.01
Sn  0.000  0.500  0.000  0.00
Sn  0.500  0.000  0.000  0.00
In  0.000  0.000  0.500  0.00

## Properties
Electronic total energy (eV/atom): -2.843
N(E_F) (states/eV per cell): 3.5
Symmetry: P4/mmm
Offset from the most stable computed form (eV/atom): 0.713

---

(2)
The following is a DFT calculation (PBE) of crystalline TaAs2P at its relaxed geometry.

a b c (Å): 5.885 5.885 6.841
angles (deg): 64.52 64.52 90.00
Fractional positions:
P  0.500  0.500  0.000
P  0.250  0.750  0.500
As  0.615  0.125  0.250
As  0.135  0.625  0.250
As  0.375  0.385  0.750
As  0.875  0.865  0.750
Ta  0.000  0.000  0.000
Ta  0.750  0.250  0.500

## Properties
Electronic total energy (eV/atom): -6.179
N(E_F) (states/eV per cell): 8.6
Symmetry: I-42d
E_form (eV per atom): 0.461

---

(3)
The following is a DFT calculation (PBE) of crystalline NaCuSbI2 at its relaxed geometry.

a b c (Å): 5.799 5.799 5.860
angles (deg): 90.00 90.00 90.00
Last column: magnetic moment on the atom in μB.
Fractional positions:
I  0.000  0.500  0.000  0.10
I  0.500  0.000  0.000  0.10
Sb  0.000  0.000  0.500  0.67
Cu  0.500  0.500  0.500  -0.01
Na  0.000  0.000  0.000  0.01

## Properties
Electronic total energy (eV/atom): -1.865
N(E_F) (states/eV per cell): 6.1
Symmetry: P4/mmm
Offset from the most stable computed form (eV/atom): 0.729
Energy relative to the elements, uncorrected (kJ per mole of atoms): 63.95

---

(4)
The following is a DFT calculation (PBE) of crystalline Pr3BiS2 at its relaxed geometry.

a b c (Å): 8.759 8.139 8.139
angles (deg): 55.18 57.45 57.45
Fractional positions:
Pr  0.000  0.730  0.270
Pr  0.000  0.270  0.730
Pr  0.500  0.770  0.230
Pr  0.500  0.000  0.500
Pr  0.500  0.500  0.000
Pr  0.500  0.230  0.770
Bi  0.163  0.250  0.250
Bi  0.837  0.750  0.750
S  0.274  0.941  0.941
S  0.344  0.441  0.441
S  0.656  0.559  0.559
S  0.726  0.059  0.059

## Properties
Electronic total energy (eV/atom): -5.696
N(E_F) (states/eV per cell): 7.8
Symmetry: Imma
Energy relative to the elements, uncorrected (kJ per mole of atoms): -123.83